# La2YSe3 GGA-PBE relaxed
data_La2YSe3
_space_group_name_H-M_alt 'P 1'
_space_group_IT_number 1
_space_group_name_Hall 'P 1'
_cell_length_a 7.362
_cell_length_b 7.362
_cell_length_c 13.309
_cell_angle_alpha 100.73
_cell_angle_beta 100.73
_cell_angle_gamma 109.06
loop_
_atom_site_label
_atom_site_type_symbol
_atom_site_fract_x
_atom_site_fract_y
_atom_site_fract_z
La1 La 0.999 0.499 0.997
La2 La 0.419 0.419 0.837
La3 La 0.831 0.331 0.663
La4 La 0.251 0.251 0.503
La5 La 0.749 0.749 0.497
La6 La 0.669 0.169 0.337
La7 La 0.581 0.581 0.163
La8 La 0.501 0.001 0.003
Y1 Y 0.917 0.917 0.834
Y2 Y 0.333 0.833 0.666
Y3 Y 0.167 0.667 0.334
Y4 Y 0.083 0.083 0.166
Se1 Se 0.165 0.677 0.828
Se2 Se 0.663 0.151 0.828
Se3 Se 0.085 0.073 0.672
Se4 Se 0.587 0.599 0.672
Se5 Se 0.015 0.515 0.500
Se6 Se 0.485 0.985 0.500
Se7 Se 0.401 0.413 0.328
Se8 Se 0.927 0.915 0.328
Se9 Se 0.849 0.337 0.172
Se10 Se 0.323 0.835 0.172
Se11 Se 0.235 0.235 0.000
Se12 Se 0.765 0.765 0.000
# * ΔE_f (raw): -1.924 eV/atom
# * VASP energy: -6.39 eV per atom
# * symmetry: Fddd



# LaYSe2 GGA-PBE relaxed
data_LaYSe2
_space_group_name_H-M_alt 'P 1'
_space_group_IT_number 1
_space_group_name_Hall 'P 1'
_cell_length_a 6.576
_cell_length_b 6.576
_cell_length_c 4.255
_cell_angle_alpha 90.00
_cell_angle_beta 90.00
_cell_angle_gamma 35.92
loop_
_atom_site_label
_atom_site_type_symbol
_atom_site_fract_x
_atom_site_fract_y
_atom_site_fract_z
La1 La 0.763 0.763 0.875
Se1 Se 0.010 0.010 0.875
Se2 Se 0.250 0.250 0.375
Y1 Y 0.477 0.477 0.375
# * ΔE_f (raw): -1.698 eV/atom
# * VASP energy: -6.29 eV per atom
# * relative energy among the computed polymorphs: 0.194 eV/atom
# * symmetry: Amm2



# LaYSe2 GGA-PBE relaxed
data_LaYSe2
_space_group_name_H-M_alt 'P 1'
_space_group_IT_number 1
_space_group_name_Hall 'P 1'
_cell_length_a 4.103
_cell_length_b 4.103
_cell_length_c 7.653
_cell_angle_alpha 74.45
_cell_angle_beta 74.45
_cell_angle_gamma 60.00
loop_
_atom_site_label
_atom_site_type_symbol
_atom_site_fract_x
_atom_site_fract_y
_atom_site_fract_z
La1 La 0.495 0.495 0.514
Y1 Y 0.672 0.672 0.985
Se1 Se 0.077 0.077 0.770
Se2 Se 0.256 0.256 0.231
# * ΔE_f (raw): -1.854 eV/atom
# * VASP energy: -6.44 eV per atom
# * relative energy among the computed polymorphs: 0.037 eV/atom
# * symmetry: R3m



# La3Y2Se8 GGA-PBE relaxed
data_La3Y2Se8
_space_group_name_H-M_alt 'P 1'
_space_group_IT_number 1
_space_group_name_Hall 'P 1'
_cell_length_a 7.284
_cell_length_b 8.524
_cell_length_c 8.484
_cell_angle_alpha 120.16
_cell_angle_beta 107.77
_cell_angle_gamma 90.00
loop_
_atom_site_label
_atom_site_type_symbol
_atom_site_fract_x
_atom_site_fract_y
_atom_site_fract_z
La1 La 0.500 0.000 0.000
La2 La 0.000 0.265 0.000
La3 La 0.000 0.735 0.000
Y1 Y 0.345 0.260 0.519
Y2 Y 0.655 0.740 0.481
Se1 Se 0.882 0.619 0.238
Se2 Se 0.118 0.381 0.762
Se3 Se 0.940 0.123 0.246
Se4 Se 0.060 0.877 0.754
Se5 Se 0.581 0.634 0.742
Se6 Se 0.581 0.108 0.742
Se7 Se 0.419 0.892 0.258
Se8 Se 0.419 0.366 0.258
# * ΔE_f (raw): -1.728 eV/atom
# * VASP energy: -6.00 eV per atom
# * symmetry: C2/m



# LaY2Se GGA-PBE relaxed
data_LaY2Se
_space_group_name_H-M_alt 'P 1'
_space_group_IT_number 1
_space_group_name_Hall 'P 1'
_cell_length_a 9.127
_cell_length_b 9.127
_cell_length_c 7.152
_cell_angle_alpha 50.36
_cell_angle_beta 50.36
_cell_angle_gamma 90.00
loop_
_atom_site_label
_atom_site_type_symbol
_atom_site_fract_x
_atom_site_fract_y
_atom_site_fract_z
Y1 Y 0.538 0.125 0.250
Y2 Y 0.212 0.625 0.250
Y3 Y 0.375 0.462 0.750
Y4 Y 0.875 0.788 0.750
Se1 Se 0.500 0.500 0.000
Se2 Se 0.250 0.750 0.500
La1 La 0.000 0.000 0.000
La2 La 0.750 0.250 0.500
# * ΔE_f (raw): -0.588 eV/atom
# * VASP energy: -5.92 eV per atom
# * symmetry: I-42d



# LaY2Se GGA-PBE relaxed
data_LaY2Se
_space_group_name_H-M_alt 'P 1'
_space_group_IT_number 1
_space_group_name_Hall 'P 1'
_cell_length_a 6.499
_cell_length_b 6.499
_cell_length_c 3.806
_cell_angle_alpha 73.06
_cell_angle_beta 73.06
_cell_angle_gamma 118.77
loop_
_atom_site_label
_atom_site_type_symbol
_atom_site_fract_x
_atom_site_fract_y
_atom_site_fract_z
La1 La 0.500 0.000 0.500
Se1 Se 0.000 0.500 0.500
Y1 Y 0.000 0.000 0.000
Y2 Y 0.500 0.500 0.000
# * ΔE_f (raw): -0.448 eV/atom
# * VASP energy: -5.78 eV per atom
# * symmetry: C2/m



# La3YSe6 GGA-PBE relaxed
data_La3YSe6
_space_group_name_H-M_alt 'P 1'
_space_group_IT_number 1
_space_group_name_Hall 'P 1'
_cell_length_a 8.706
_cell_length_b 8.706
_cell_length_c 8.706
_cell_angle_alpha 91.44
_cell_angle_beta 91.44
_cell_angle_gamma 91.44
loop_
_atom_site_label
_atom_site_type_symbol
_atom_site_fract_x
_atom_site_fract_y
_atom_site_fract_z
La1 La 0.430 0.922 0.751
La2 La 0.922 0.751 0.430
La3 La 0.249 0.570 0.078
La4 La 0.751 0.430 0.922
La5 La 0.078 0.249 0.570
La6 La 0.570 0.078 0.249
Y1 Y 0.000 0.000 0.000
Y2 Y 0.500 0.500 0.500
Se1 Se 0.309 0.915 0.078
Se2 Se 0.085 0.922 0.691
Se3 Se 0.588 0.812 0.459
Se4 Se 0.922 0.691 0.085
Se5 Se 0.459 0.588 0.812
Se6 Se 0.188 0.541 0.412
Se7 Se 0.812 0.459 0.588
Se8 Se 0.541 0.412 0.188
Se9 Se 0.078 0.309 0.915
Se10 Se 0.412 0.188 0.541
Se11 Se 0.915 0.078 0.309
Se12 Se 0.691 0.085 0.922
# * ΔE_f (raw): -1.981 eV/atom
# * VASP energy: -6.20 eV per atom
# * relative energy among the computed polymorphs: 0.000 eV/atom
# * symmetry: R-3



# La5YSe6 GGA-PBE relaxed
data_La5YSe6
_space_group_name_H-M_alt 'P 1'
_space_group_IT_number 1
_space_group_name_Hall 'P 1'
_cell_length_a 7.404
_cell_length_b 7.403
_cell_length_c 7.414
_cell_angle_alpha 60.05
_cell_angle_beta 80.33
_cell_angle_gamma 70.35
loop_
_atom_site_label
_atom_site_type_symbol
_atom_site_fract_x
_atom_site_fract_y
_atom_site_fract_z
Y1 Y 0.000 0.000 0.000
Se1 Se 0.758 0.080 0.323
Se2 Se 0.242 0.596 0.323
Se3 Se 0.247 0.241 0.000
Se4 Se 0.753 0.759 0.000
Se5 Se 0.758 0.404 0.677
Se6 Se 0.242 0.920 0.677
La1 La 0.500 0.171 0.659
La2 La 0.000 0.334 0.332
La3 La 0.500 0.500 0.000
La4 La 0.000 0.666 0.668
La5 La 0.500 0.829 0.341
# * ΔE_f (raw): -1.961 eV/atom
# * VASP energy: -6.30 eV per atom
# * symmetry: C2/m



# La3Y5Se12 GGA-PBE relaxed
data_La3Y5Se12
_space_group_name_H-M_alt 'P 1'
_space_group_IT_number 1
_space_group_name_Hall 'P 1'
_cell_length_a 14.822
_cell_length_b 14.822
_cell_length_c 14.822
_cell_angle_alpha 109.47
_cell_angle_beta 109.47
_cell_angle_gamma 109.47
loop_
_atom_site_label
_atom_site_type_symbol
_atom_site_fract_x
_atom_site_fract_y
_atom_site_fract_z
La1 La 0.750 0.375 0.125
La2 La 0.875 0.750 0.125
La3 La 0.375 0.750 0.625
La4 La 0.250 0.125 0.375
La5 La 0.875 0.125 0.250
La6 La 0.375 0.625 0.250
La7 La 0.625 0.375 0.750
La8 La 0.125 0.875 0.750
La9 La 0.750 0.875 0.625
La10 La 0.625 0.250 0.375
La11 La 0.125 0.250 0.875
La12 La 0.250 0.625 0.875
Y1 Y 0.125 0.375 0.250
Y2 Y 0.000 0.500 0.000
Y3 Y 0.000 0.000 0.000
Y4 Y 0.375 0.250 0.125
Y5 Y 0.500 0.000 0.500
Y6 Y 0.500 0.500 0.000
Y7 Y 0.125 0.750 0.375
Y8 Y 0.750 0.125 0.875
Y9 Y 0.750 0.625 0.375
Y10 Y 0.375 0.125 0.750
Y11 Y 0.625 0.875 0.250
Y12 Y 0.500 0.500 0.500
Y13 Y 0.500 0.000 0.000
Y14 Y 0.000 0.000 0.500
Y15 Y 0.250 0.375 0.625
Y16 Y 0.250 0.875 0.125
Y17 Y 0.000 0.500 0.500
Y18 Y 0.875 0.250 0.625
Y19 Y 0.625 0.750 0.875
Y20 Y 0.875 0.625 0.750
Se1 Se 0.719 0.129 0.045
Se2 Se 0.326 0.545 0.416
Se3 Se 0.955 0.371 0.281
Se4 Se 0.545 0.219 0.129
Se5 Se 0.590 0.719 0.674
Se6 Se 0.955 0.584 0.174
Se7 Se 0.326 0.781 0.410
Se8 Se 0.084 0.910 0.129
Se9 Se 0.584 0.955 0.674
Se10 Se 0.719 0.590 0.174
Se11 Se 0.781 0.455 0.371
Se12 Se 0.826 0.916 0.045
Se13 Se 0.129 0.719 0.545
Se14 Se 0.371 0.416 0.090
Se15 Se 0.090 0.916 0.371
Se16 Se 0.410 0.129 0.584
Se17 Se 0.090 0.174 0.219
Se18 Se 0.455 0.674 0.084
Se19 Se 0.826 0.910 0.281
Se20 Se 0.129 0.410 0.084
Se21 Se 0.371 0.955 0.781
Se22 Se 0.584 0.629 0.410
Se23 Se 0.916 0.826 0.545
Se24 Se 0.781 0.326 0.910
Se25 Se 0.416 0.371 0.590
Se26 Se 0.084 0.174 0.455
Se27 Se 0.219 0.674 0.090
Se28 Se 0.174 0.090 0.719
Se29 Se 0.629 0.045 0.219
Se30 Se 0.871 0.590 0.916
Se31 Se 0.545 0.326 0.916
Se32 Se 0.590 0.871 0.416
Se33 Se 0.910 0.826 0.781
Se34 Se 0.910 0.084 0.629
Se35 Se 0.871 0.281 0.455
Se36 Se 0.174 0.084 0.955
Se37 Se 0.629 0.584 0.910
Se38 Se 0.416 0.045 0.326
Se39 Se 0.281 0.410 0.826
Se40 Se 0.219 0.545 0.629
Se41 Se 0.916 0.090 0.871
Se42 Se 0.674 0.219 0.590
Se43 Se 0.455 0.781 0.871
Se44 Se 0.045 0.416 0.826
Se45 Se 0.410 0.281 0.326
Se46 Se 0.045 0.629 0.719
Se47 Se 0.674 0.455 0.584
Se48 Se 0.281 0.871 0.955
# * ΔE_f (raw): -1.804 eV/atom
# * VASP energy: -6.25 eV per atom
# * symmetry: Ia-3d



# LaY2Se GGA-PBE relaxed
data_LaY2Se
_space_group_name_H-M_alt 'P 1'
_space_group_IT_number 1
_space_group_name_Hall 'P 1'
_cell_length_a 5.456
_cell_length_b 5.456
_cell_length_c 5.456
_cell_angle_alpha 60.00
_cell_angle_beta 60.00
_cell_angle_gamma 60.00
loop_
_atom_site_label
_atom_site_type_symbol
_atom_site_fract_x
_atom_site_fract_y
_atom_site_fract_z
La1 La 0.500 0.500 0.500
Se1 Se 0.750 0.750 0.750
Y1 Y 0.000 0.000 0.000
Y2 Y 0.250 0.250 0.250
# * ΔE_f (raw): -0.206 eV/atom
# * VASP energy: -5.54 eV per atom
# * symmetry: F-43m



# LaY2Se GGA-PBE relaxed
data_LaY2Se
_space_group_name_H-M_alt 'P 1'
_space_group_IT_number 1
_space_group_name_Hall 'P 1'
_cell_length_a 5.457
_cell_length_b 5.457
_cell_length_c 3.688
_cell_angle_alpha 90.00
_cell_angle_beta 90.00
_cell_angle_gamma 96.05
loop_
_atom_site_label
_atom_site_type_symbol
_atom_site_fract_x
_atom_site_fract_y
_atom_site_fract_z
La1 La 0.500 0.000 0.500
Se1 Se 0.000 0.500 0.500
Y1 Y 0.000 0.000 0.000
Y2 Y 0.500 0.500 0.000
# * ΔE_f (raw): -0.413 eV/atom
# * VASP energy: -5.75 eV per atom
# * symmetry: Cmmm